Entry 1:
Nd6Co2AsCl3 | PBE | optimized geometry

Results
SG: No. 12

Cell: 9.5025 9.5025 8.8303 Å, 106.91 106.91 24.66°
Sites, in units of the cell vectors:
Nd  0.0208  0.0208  0.2487
Nd  0.3220  0.3220  0.4366
Nd  0.3327  0.3327  0.8726
Nd  0.6673  0.6673  0.1274
Nd  0.6780  0.6780  0.5634
Nd  0.9792  0.9792  0.7513
Co  0.1700  0.1700  0.3403
Co  0.8300  0.8300  0.6597
As  0.5000  0.5000  0.0000
Cl  0.1593  0.1593  0.8392
Cl  0.5000  0.5000  0.5000
Cl  0.8407  0.8407  0.1608

Entry 2:
CoNiAsCl2 | PBE | optimized geometry

Results
SG: No. 123

Cell: 4.3101 4.3101 5.2846 Å, 90.00 90.00 90.00°
Sites, in units of the cell vectors:
Co  0.0000  0.0000  0.0000
Ni  0.0000  0.0000  0.5000
As  0.5000  0.5000  0.0000
Cl  0.0000  0.5000  0.5000
Cl  0.5000  0.0000  0.5000

Entry 3:
CoAsP2Cl | PBE | optimized geometry

Results
SG: No. 123

Cell: 4.4156 4.4156 4.4979 Å, 90.00 90.00 90.00°
Sites, in units of the cell vectors:
Co  0.0000  0.0000  0.0000
As  0.5000  0.5000  0.5000
P  0.0000  0.5000  0.0000
P  0.5000  0.0000  0.0000
Cl  0.0000  0.0000  0.5000

Entry 4:
Pm6Co2AsCl3 | PBE | optimized geometry

Results
SG: No. 12

Cell: 9.4560 9.4560 8.7496 Å, 106.99 106.99 24.56°
Sites, in units of the cell vectors:
Pm  0.0209  0.0209  0.2494
Pm  0.3234  0.3234  0.4352
Pm  0.3326  0.3326  0.8687
Pm  0.6674  0.6674  0.1313
Pm  0.6766  0.6766  0.5648
Pm  0.9791  0.9791  0.7506
Co  0.1705  0.1705  0.3443
Co  0.8295  0.8295  0.6557
As  0.5000  0.5000  0.0000
Cl  0.1596  0.1596  0.8417
Cl  0.5000  0.5000  0.5000
Cl  0.8404  0.8404  0.1583

M_tot for every record listed, in sequence, given in μB/cell: 0.00; 1.62; 0.00; 0.00.
Final energy for every record listed, in sequence, given in eV/atom: -5.46; -3.60; -4.35; -5.46.